TcBAu2F | PBE | relaxed

abc: 4.436 3.804 4.436
angles: 90.00 90.00 90.00
Site moments in Bohr magnetons follow the coordinates.
Atoms (fractional coordinates):
B 0.000 0.000 0.000  -0.02
Au 0.000 0.000 0.500  0.00
Au 0.500 0.000 0.000  0.04
Tc 0.500 0.500 0.500  2.89
F 0.000 0.500 0.000  0.02

Output
The symmetry is No. 123. The formation energy without anion corrections is 0.448 eV per atom.